# Tl5SnSe5

A relaxed Tl5SnSe5 crystal (PBE, Alexandria).

a b c (Å): 14.155 5.919 9.040
angles (deg): 90.00 109.82 90.00
Space group C2/m (No. 12)
One atom of each set of equivalent atoms:
Tl (0.000, 0.000, 0.000) [2 per cell]
Tl (0.174, 0.500, 0.349) [4 per cell]
Tl (0.184, 0.500, 0.814) [4 per cell]
Sn (0.000, 0.000, 0.500) [2 per cell]
Se (0.000, 0.500, 0.500) [2 per cell]
Se (0.157, 0.000, 0.343) [4 per cell]
Se (0.160, 0.000, 0.819) [4 per cell]

Properties
- DFT total energy: -72.68 eV/cell

=====

# Tl4SnSe4

A relaxed Tl4SnSe4 crystal (PBE, Alexandria).

a b c (Å): 7.809 7.809 11.334
angles (deg): 90.00 90.00 90.00
Space group I-42m (No. 121)
One atom of each set of equivalent atoms:
Tl (0.000, 0.000, 0.162) [4 per cell]
Tl (0.000, 0.500, 0.000) [4 per cell]
Sn (0.000, 0.000, 0.500) [2 per cell]
Se (0.185, 0.185, 0.639) [8 per cell]

Properties
- DFT total energy: -61.46 eV/cell

=====

# Tl4SnSe3

A relaxed Tl4SnSe3 crystal (PBE, Alexandria).

a b c (Å): 14.171 7.251 12.575
angles (deg): 90.00 118.70 90.00
Space group Cc (No. 9)
One atom of each set of equivalent atoms:
Tl (0.000, 0.118, 0.000) [4 per cell]
Tl (0.131, 0.183, 0.754) [4 per cell]
Tl (0.246, 0.209, 0.541) [4 per cell]
Tl (0.457, 0.146, 0.946) [4 per cell]
Sn (0.340, 0.261, 0.147) [4 per cell]
Se (0.150, 0.398, 0.975) [4 per cell]
Se (0.295, 0.157, 0.327) [4 per cell]
Se (0.444, 0.416, 0.739) [4 per cell]

Properties
- DFT total energy: -106.99 eV/cell

=====

# Tl4SnSe4

A relaxed Tl4SnSe4 crystal (PBE, Alexandria).

a b c (Å): 14.553 4.147 10.910
angles (deg): 90.00 122.44 90.00
Space group C2/m (No. 12)
One atom of each set of equivalent atoms:
Tl (0.086, 0.000, 0.396) [4 per cell]
Tl (0.187, 0.500, 0.767) [4 per cell]
Sn (0.000, 0.500, 0.000) [2 per cell]
Se (0.099, 0.000, 0.936) [4 per cell]
Se (0.173, 0.500, 0.279) [4 per cell]

Properties
- DFT total energy: -61.82 eV/cell

=====

> Look up the DFT total energy of the fourth one.

-61.82 eV/cell